## CeTh2Pt3 (GGA-PBE)

Data for a relaxed structure of CeTh2Pt3.

* mass density: 12.70 g cm⁻³
* ΔH_f (0 K): -6.89 eV per formula unit
* SG: Fddd
* calculated volume: 25.9 Å³/atom

abc: 13.983 13.333 7.227
angles: 79.69 69.74 30.56
Atoms (fractional coordinates):
Ce (0.042, 0.042, 0.208)
Ce (0.208, 0.208, 0.042)
Ce (0.792, 0.792, 0.958)
Ce (0.958, 0.958, 0.792)
Th (0.125, 0.125, 0.625)
Th (0.292, 0.292, 0.458)
Th (0.375, 0.375, 0.875)
Th (0.458, 0.458, 0.292)
Th (0.542, 0.542, 0.708)
Th (0.625, 0.625, 0.125)
Th (0.708, 0.708, 0.542)
Th (0.875, 0.875, 0.375)
Pt (0.042, 0.542, 0.209)
Pt (0.126, 0.624, 0.624)
Pt (0.209, 0.707, 0.042)
Pt (0.293, 0.791, 0.458)
Pt (0.376, 0.874, 0.874)
Pt (0.458, 0.958, 0.293)
Pt (0.542, 0.042, 0.707)
Pt (0.624, 0.126, 0.126)
Pt (0.707, 0.209, 0.542)
Pt (0.791, 0.293, 0.958)
Pt (0.874, 0.376, 0.376)
Pt (0.958, 0.458, 0.791)